Below is an optimized crystal structure of Pm3DyTm3, with properties calculated at the PBE level.

Unit cell a=9.576 b=9.576 c=5.706 alpha=90.00 beta=90.00 gamma=120.00
Fractional positions:
Pm1 0.049 0.243 0.250
Pm2 0.193 0.951 0.250
Pm3 0.243 0.193 0.750
Pm4 0.757 0.807 0.250
Pm5 0.807 0.049 0.750
Pm6 0.951 0.757 0.750
Dy1 0.333 0.667 0.250
Dy2 0.667 0.333 0.750
Tm1 0.095 0.479 0.750
Tm2 0.383 0.905 0.750
Tm3 0.479 0.383 0.250
Tm4 0.521 0.617 0.750
Tm5 0.617 0.095 0.250
Tm6 0.905 0.521 0.250

DOS(E_F): 1.807 states/eV/atom
excess energy over the best structure of this formula in the dataset: 0.000 eV per atom
DFT formation energy: 17 meV/atom